Density functional theory data (PBE) for a relaxed structure of Ac4Pr4Dy.

a = 11.4590 Å, b = 11.4590 Å, c = 5.4033 Å
α = 90.00°, β = 90.00°, γ = 90.00°
Space group I4/mmm (No. 139)
One atom of each set of equivalent atoms:
Ac: 0.1656 0.1656 0.0000
Pr: 0.0000 0.3368 0.5000
Dy: 0.0000 0.0000 0.5000

Values from the calculation:
- Calculated formation energy: 0.04 eV per atom